No. 1
Material: TlOs4W2
Method: DFT, PBE
State: optimized geometry

abc: 4.8522 4.8522 12.9590
angles: 90.00 90.00 90.00
Space group I4/mmm (No. 139)
Unique sites:
Tl (0.0000, 0.0000, 0.0000) x2
Os (0.0000, 0.0000, 0.2215) x4
Os (0.0000, 0.5000, 0.0000) x4
W (0.0000, 0.0000, 0.3956) x4

Calculated values
As for the spin magnetization: 0.17 μB/atom.

No. 2
Material: YTlOs2
Method: DFT, PBE
State: optimized geometry

abc: 6.7391 6.7391 6.7391
angles: 90.00 90.00 90.00
Space group F-43m (No. 216)
Unique sites:
Y (0.0000, 0.0000, 0.0000) x4
Tl (0.2500, 0.2500, 0.7500) x4
Os (0.0000, 0.0000, 0.5000) x4
Os (0.2500, 0.2500, 0.2500) x4

Calculated values
As for the spin magnetization: 0.48 μB/atom.

No. 3
Material: Tm2Os
Method: DFT, PBE
State: optimized geometry

abc: 11.6142 11.6142 11.6142
angles: 90.00 90.00 90.00
Space group Fd-3m (No. 227, origin choice 2)
Unique sites:
Tm (0.0000, 0.0000, 0.0000) x16
Os (0.1250, 0.1250, 0.1250) x8

Calculated values
Its formation energy is 112.7 kJ per mole of atoms. As for the spin magnetization: 0.00 μB/atom.

No. 4
Material: Tm2Os
Method: DFT, PBE
State: optimized geometry

abc: 8.0373 8.0373 8.0373
angles: 90.00 90.00 90.00
Space group Fd-3m (No. 227, origin choice 2)
Unique sites:
Tm (0.0000, 0.0000, 0.0000) x16
Os (0.1250, 0.1250, 0.6250) x8

Calculated values
Its formation energy is 99.6 kJ per mole of atoms. As for the spin magnetization: 0.00 μB/atom.

No. 5
Material: Tm3Os
Method: DFT, PBE
State: optimized geometry

abc: 7.3481 8.8774 6.1944
angles: 90.00 90.00 90.00
Space group Pnma (No. 62)
Unique sites:
Tm (0.0383, 0.2500, 0.1276) x4
Tm (0.1745, 0.0619, 0.6655) x8
Os (0.1187, 0.7500, 0.4609) x4

Calculated values
Its formation energy is -30.2 kJ per mole of atoms. As for the spin magnetization: 0.00 μB/atom.

No. 6
Material: Tm5Os2
Method: DFT, PBE
State: optimized geometry

abc: 15.3041 6.2531 7.3129
angles: 90.00 97.59 90.00
Space group C2/c (No. 15)
Unique sites:
Tm (0.0000, 0.0814, 0.2500) x4
Tm (0.0906, 0.3834, 0.9170) x8
Tm (0.2182, 0.0765, 0.3195) x8
Os (0.1096, 0.2128, 0.5796) x8

Calculated values
Its formation energy is -31.8 kJ per mole of atoms. As for the spin magnetization: 0.00 μB/atom.

No. 7
Material: YTmOs
Method: DFT, PBE
State: optimized geometry

abc: 6.6520 6.6520 6.6520
angles: 90.00 90.00 90.00
Space group F-43m (No. 216)
Unique sites:
Y (0.0000, 0.0000, 0.0000) x4
Tm (0.2500, 0.2500, 0.7500) x4
Os (0.0000, 0.0000, 0.5000) x4

Calculated values
Its formation energy is 66.7 kJ per mole of atoms. As for the spin magnetization: 0.00 μB/atom.

No. 8
Material: Tm5Zn4Os
Method: DFT, PBE
State: optimized geometry

abc: 3.4584 3.4584 17.6464
angles: 90.00 90.00 90.00
Space group P4/mmm (No. 123)
Unique sites:
Tm (0.0000, 0.0000, 0.0000) x1
Tm (0.0000, 0.0000, 0.2020) x2
Tm (0.0000, 0.0000, 0.4094) x2
Zn (0.5000, 0.5000, 0.1008) x2
Zn (0.5000, 0.5000, 0.3018) x2
Os (0.5000, 0.5000, 0.5000) x1

Calculated values
Its formation energy is -34.9 kJ per mole of atoms. As for the spin magnetization: 0.00 μB/atom.

No. 9
Material: TmZnOs
Method: DFT, PBE
State: optimized geometry

abc: 6.1712 6.1712 6.1712
angles: 90.00 90.00 90.00
Space group F-43m (No. 216)
Unique sites:
Tm (0.0000, 0.0000, 0.0000) x4
Zn (0.2500, 0.2500, 0.7500) x4
Os (0.0000, 0.0000, 0.5000) x4

Calculated values
Its formation energy is 20.9 kJ per mole of atoms. As for the spin magnetization: 0.00 μB/atom.

No. 10
Material: TmZnOs
Method: DFT, PBE
State: optimized geometry

abc: 6.4078 6.4078 6.4078
angles: 90.00 90.00 90.00
Space group F-43m (No. 216)
Unique sites:
Tm (0.0000, 0.0000, 0.0000) x4
Zn (0.2500, 0.2500, 0.2500) x4
Os (0.2500, 0.2500, 0.7500) x4

Calculated values
Its formation energy is 75.7 kJ per mole of atoms. As for the spin magnetization: 0.00 μB/atom.

No. 11
Material: TmZrOs
Method: DFT, PBE
State: optimized geometry

abc: 6.4694 6.4694 6.4694
angles: 90.00 90.00 90.00
Space group F-43m (No. 216)
Unique sites:
Tm (0.0000, 0.0000, 0.0000) x4
Zr (0.2500, 0.2500, 0.7500) x4
Os (0.0000, 0.0000, 0.5000) x4

Calculated values
Its formation energy is 47.7 kJ per mole of atoms. As for the spin magnetization: 0.00 μB/atom.

No. 12
Material: UOs3
Method: DFT, PBE
State: optimized geometry

abc: 4.0292 4.0292 4.0292
angles: 90.00 90.00 90.00
Space group Pm-3m (No. 221)
Unique sites:
U (0.0000, 0.0000, 0.0000) x1
Os (0.0000, 0.5000, 0.5000) x3

Calculated values
Its formation energy is -16.0 kJ per mole of atoms. As for the spin magnetization: 0.00 μB/atom.

| no. | E_tot (eV/atom) |
| --- | --- |
| 1 | -8.008 |
| 2 | -7.155 |
| 3 | -5.557 |
| 4 | -5.692 |
| 5 | -6.476 |
| 6 | -6.734 |
| 7 | -6.698 |
| 8 | -4.228 |
| 9 | -5.439 |
| 10 | -4.870 |
| 11 | -7.588 |
| 12 | -11.409 |